1.
# Na2CePr3Se6

Na2CePr3Se6 after structural relaxation (PBE, the Alexandria database).

Values from the calculation:
final energy	-64.48	eV per cell
total magnetic moment	1.30	μB per formula unit

```
Na2CePr3Se6
1.0
7.356 0.001 0.001
-3.676 6.372 0.001
-1.227 -2.124 7.005
Na Ce Pr Se
2 1 3 6
direct
0.334 0.666 0.000
0.666 0.334 0.000
0.000 0.000 0.000
0.169 0.831 0.500
0.831 0.169 0.500
0.500 0.500 0.500
0.917 0.587 0.753
0.754 0.754 0.251
0.083 0.413 0.247
0.587 0.917 0.753
0.246 0.246 0.749
0.413 0.083 0.247
```


2.
# Na3Ce3PrSe8

Na3Ce3PrSe8 after structural relaxation (PBE, the Alexandria database).

Values from the calculation:
final energy	-79.00	eV per cell
total magnetic moment	2.01	μB per formula unit

```
Na3Ce3PrSe8
1.0
8.583 0.000 0.000
-4.291 7.431 -0.028
0.000 -4.933 6.955
Na Ce Pr Se
3 3 1 8
direct
0.000 0.000 0.000
0.000 0.500 0.000
0.500 0.500 0.000
0.500 0.000 0.500
0.500 0.500 0.500
0.000 0.500 0.500
0.000 0.000 0.500
0.255 0.510 0.265
0.745 0.490 0.735
0.754 0.507 0.269
0.246 0.493 0.731
0.754 0.015 0.269
0.246 0.985 0.731
0.262 0.015 0.269
0.738 0.985 0.731
```